Entry 1:
AcPS4I | PBE | optimized geometry

Cell lengths 8.6134, 8.6134, 7.6006 Å; angles 105.12, 105.12, 64.86 degrees
Last column: nearest neighbours and their distance in Å.
Element x y z (fractional)
Ac  0.1874  0.1874  0.0959  5 S 3.06-3.10, 2 I 3.25-3.28
Ac  0.8126  0.8126  0.9041  5 S 3.06-3.10, 2 I 3.25-3.28
P  0.3401  0.3401  0.7469  4 S 1.99-2.10
P  0.6599  0.6599  0.2531  4 S 1.99-2.10
S  0.1080  0.4481  0.8464  1 P 2.07
S  0.3358  0.3358  0.4823  1 P 1.99
S  0.4481  0.1080  0.8464  1 P 2.07
S  0.4913  0.4913  0.8565  1 P 2.10, 1 S 2.12
S  0.5087  0.5087  0.1435  1 P 2.10, 1 S 2.12
S  0.5519  0.8920  0.1536  1 P 2.07
S  0.6642  0.6642  0.5177  1 P 1.99
S  0.8920  0.5519  0.1536  1 P 2.07
I  0.0075  0.0075  0.2643  2 Ac 3.25-3.28
I  0.9925  0.9925  0.7357  2 Ac 3.25-3.28

Properties
The calculation puts the mass density at 3.51 g/cm³. The size of the total moment is 0.0 μB per formula unit. The calculation puts the uncorrected formation energy at -0.87 eV per atom. The space group is C2/m (12).


Entry 2:
Ac6P3S2I | PBE | optimized geometry

Cell lengths 9.9527, 9.9527, 8.9743 Å; angles 103.25, 103.25, 25.64 degrees
Last column: nearest neighbours and their distance in Å.
Element x y z (fractional)
Ac  0.0003  0.0003  0.2209  3 P 2.97-3.08, 1 S 3.19
Ac  0.9997  0.9997  0.7791  3 P 2.97-3.08, 1 S 3.19
Ac  0.3220  0.3220  0.4151  3 P 3.00-3.13, 2 S 3.18
Ac  0.3348  0.3348  0.9117  3 P 3.12, 3 S 3.15-3.18
Ac  0.6652  0.6652  0.0883  3 P 3.12, 3 S 3.15-3.18
Ac  0.6780  0.6780  0.5849  3 P 3.00-3.13, 2 S 3.18
P  0.1632  0.1632  0.3328  6 Ac 3.00-3.13
P  0.5000  0.5000  0.0000  6 Ac 2.97-3.12
P  0.8368  0.8368  0.6672  6 Ac 3.00-3.13
S  0.1680  0.1680  0.8343  6 Ac 3.15-3.19
S  0.8320  0.8320  0.1657  6 Ac 3.15-3.19
I  0.5000  0.5000  0.5000  6 Ac 3.34-3.36

Properties
The calculation puts the mass density at 7.31 g/cm³. The size of the total moment is 0.0 μB per formula unit. The calculation puts the uncorrected formation energy at -1.61 eV per atom. The space group is C2/m (12).


Entry 3:
Ac4SbPI2 | PBE | optimized geometry

Cell lengths 8.1583, 4.5960, 8.3713 Å; angles 90.00, 108.38, 90.00 degrees
Last column: nearest neighbours and their distance in Å.
Element x y z (fractional)
Ac  0.2117  0.0000  0.2006  2 P 3.04, 1 Sb 3.29
Ac  0.2355  0.5000  0.7896  1 P 2.99, 2 Sb 3.26
Ac  0.7645  0.5000  0.2104  1 P 2.99, 2 Sb 3.26
Ac  0.7883  0.0000  0.7994  2 P 3.04, 1 Sb 3.29
Sb  0.5000  0.0000  0.0000  6 Ac 3.26-3.29
P  0.0000  0.5000  0.0000  6 Ac 2.99-3.04
I  0.0000  0.0000  0.5000  6 Ac 3.45-3.46
I  0.5000  0.5000  0.5000  6 Ac 3.66-3.72

Properties
The calculation puts the mass density at 7.33 g/cm³. The size of the total moment is 0.0 μB per formula unit. The calculation puts the uncorrected formation energy at -1.21 eV per atom. The space group is P2/m (10).


Entry 4:
Ac6Sb3P2I | PBE | optimized geometry

Cell lengths 10.3871, 10.3871, 9.3672 Å; angles 101.75, 101.75, 25.93 degrees
Last column: nearest neighbours and their distance in Å.
Element x y z (fractional)
Ac  0.0115  0.0115  0.2701  1 P 3.12, 3 Sb 3.21-3.38, 2 I 3.41
Ac  0.3238  0.3238  0.8920  2 P 3.18, 3 Sb 3.27-3.42, 1 I 3.50
Ac  0.3282  0.3282  0.4266  3 P 3.16-3.22, 3 Sb 3.40-3.44
Ac  0.6718  0.6718  0.5734  3 P 3.16-3.22, 3 Sb 3.40-3.44
Ac  0.6762  0.6762  0.1080  2 P 3.18, 3 Sb 3.27-3.42, 1 I 3.50
Ac  0.9885  0.9885  0.7299  1 P 3.12, 3 Sb 3.21-3.38, 2 I 3.41
Sb  0.1586  0.1586  0.8359  6 Ac 3.27-3.44
Sb  0.5000  0.5000  0.5000  6 Ac 3.21-3.40
Sb  0.8414  0.8414  0.1641  6 Ac 3.27-3.44
P  0.1690  0.1690  0.3350  6 Ac 3.12-3.22
P  0.8310  0.8310  0.6650  6 Ac 3.12-3.22
I  0.5000  0.5000  0.0000  6 Ac 3.41-3.50

Properties
The calculation puts the mass density at 7.36 g/cm³. The size of the total moment is 0.0 μB per formula unit. The calculation puts the uncorrected formation energy at -1.27 eV per atom. The space group is C2/m (12).


Entry 5:
Ac4PSeI2 | PBE | optimized geometry

Cell lengths 7.6004, 4.3693, 8.7906 Å; angles 90.00, 106.64, 90.00 degrees
Last column: nearest neighbours and their distance in Å.
Element x y z (fractional)
Ac  0.2229  0.0000  0.1998  2 P 3.00, 1 Se 3.10
Ac  0.2532  0.5000  0.7961  1 P 2.98, 2 Se 3.09
Ac  0.7468  0.5000  0.2039  1 P 2.98, 2 Se 3.09
Ac  0.7771  0.0000  0.8002  2 P 3.00, 1 Se 3.10
P  0.0000  0.5000  0.0000  6 Ac 2.98-3.00
Se  0.5000  0.0000  0.0000  6 Ac 3.09-3.10
I  0.0000  0.0000  0.5000  6 Ac 3.52
I  0.5000  0.5000  0.5000  6 Ac 3.60-3.62

Properties
The calculation puts the mass density at 7.55 g/cm³. The size of the total moment is 0.0 μB per formula unit. The calculation puts the uncorrected formation energy at -1.34 eV per atom. The space group is P2/m (10).


Entry 6:
Ac8Si3PI3 | PBE | optimized geometry

Cell lengths 9.1490, 9.1490, 9.5197 Å; angles 118.69, 118.69, 60.04 degrees
Last column: nearest neighbours and their distance in Å.
Element x y z (fractional)
Ac  0.2326  0.7363  0.7058  2 Si 3.09-3.10, 1 P 3.12
Ac  0.2348  0.2348  0.7046  3 Si 3.10
Ac  0.2635  0.2635  0.2942  2 Si 3.10, 1 P 3.12
Ac  0.2637  0.7674  0.2942  2 Si 3.09-3.10, 1 P 3.12
Ac  0.7363  0.2326  0.7058  2 Si 3.09-3.10, 1 P 3.12
Ac  0.7365  0.7365  0.7058  2 Si 3.10, 1 P 3.12
Ac  0.7652  0.7652  0.2954  3 Si 3.10
Ac  0.7674  0.2637  0.2942  2 Si 3.09-3.10, 1 P 3.12
Si  0.0000  0.0000  0.5000  6 Ac 3.10
Si  0.0000  0.5000  0.5000  6 Ac 3.09-3.10
Si  0.5000  0.0000  0.5000  6 Ac 3.09-3.10
P  0.5000  0.5000  0.5000  6 Ac 3.12
I  0.0000  0.5000  0.0000  6 Ac 3.53
I  0.5000  0.0000  0.0000  6 Ac 3.53
I  0.5000  0.5000  0.0000  6 Ac 3.53

Properties
The calculation puts the mass density at 6.68 g/cm³. The size of the total moment is 0.3 μB per formula unit. The calculation puts the uncorrected formation energy at -0.89 eV per atom. The space group is C2/m (12).


Entry 7:
Ac6SiP2I3 | PBE | optimized geometry

Cell lengths 10.6627, 10.6627, 9.6664 Å; angles 108.57, 108.57, 24.32 degrees
Last column: nearest neighbours and their distance in Å.
Element x y z (fractional)
Ac  0.0139  0.0139  0.2235  1 P 3.04, 2 Si 3.06
Ac  0.3212  0.3212  0.4486  3 P 3.01-3.03
Ac  0.3444  0.3444  0.8838  2 P 3.04, 1 Si 3.07
Ac  0.6556  0.6556  0.1162  2 P 3.04, 1 Si 3.07
Ac  0.6788  0.6788  0.5514  3 P 3.01-3.03
Ac  0.9861  0.9861  0.7765  1 P 3.04, 2 Si 3.06
Si  0.5000  0.5000  0.0000  6 Ac 3.06-3.07
P  0.1684  0.1684  0.3354  6 Ac 3.01-3.04
P  0.8316  0.8316  0.6646  6 Ac 3.01-3.04
I  0.1655  0.1655  0.8319  6 Ac 3.60-3.61
I  0.5000  0.5000  0.5000  6 Ac 3.57-3.60
I  0.8345  0.8345  0.1681  6 Ac 3.60-3.61

Properties
The calculation puts the mass density at 7.11 g/cm³. The size of the total moment is 0.0 μB per formula unit. The calculation puts the uncorrected formation energy at -1.20 eV per atom. The space group is C2/m (12).


Entry 8:
Ac8Si3PI4 | PBE | optimized geometry

Cell lengths 9.7364, 9.7364, 9.7364 Å; angles 55.72, 55.72, 55.72 degrees
Last column: nearest neighbours and their distance in Å.
Element x y z (fractional)
Ac  0.2330  0.2330  0.2330  3 Si 3.09
Ac  0.2343  0.7310  0.7310  1 P 3.07, 2 Si 3.09
Ac  0.2690  0.2690  0.7657  1 P 3.07, 2 Si 3.09
Ac  0.2690  0.7657  0.2690  1 P 3.07, 2 Si 3.09
Ac  0.7310  0.2343  0.7310  1 P 3.07, 2 Si 3.09
Ac  0.7310  0.7310  0.2343  1 P 3.07, 2 Si 3.09
Ac  0.7657  0.2690  0.2690  1 P 3.07, 2 Si 3.09
Ac  0.7670  0.7670  0.7670  3 Si 3.09
Si  0.0000  0.0000  0.5000  6 Ac 3.09
Si  0.0000  0.5000  0.0000  6 Ac 3.09
Si  0.5000  0.0000  0.0000  6 Ac 3.09
P  0.5000  0.5000  0.5000  6 Ac 3.07
I  0.0000  0.0000  0.0000  6 Ac 3.63
I  0.0000  0.5000  0.5000  6 Ac 3.60-3.61
I  0.5000  0.0000  0.5000  6 Ac 3.60-3.61
I  0.5000  0.5000  0.0000  6 Ac 3.60-3.61

Properties
The calculation puts the mass density at 6.89 g/cm³. The size of the total moment is 0.0 μB per formula unit. The calculation puts the uncorrected formation energy at -1.03 eV per atom. The space group is R-3m (166).